Record 1
This record from the Open Quantum Materials Database describes a relaxed structure of TaBiPt. The functional is PBE.

symmetry: F-43m, No. 216
crystal system: cubic
mass density: 13926 kg/m3
total magnetization: 0.6 μB per cell
calculated total energy: -0.5178 Ry per atom

```
TaBiPt
1.0
6.535 0.000 0.000
0.000 6.535 0.000
0.000 0.000 6.535
Ta Bi Pt
4 4 4
Cartesian
0.000 0.000 0.000
0.000 3.267 3.267
3.267 0.000 3.267
3.267 3.267 0.000
1.634 1.634 4.901
1.634 4.901 1.634
4.901 1.634 1.634
4.901 4.901 4.901
1.634 1.634 1.634
1.634 4.901 4.901
4.901 1.634 4.901
4.901 4.901 1.634
```

***

Record 2
This record from the Open Quantum Materials Database describes a relaxed structure of ScBeZnAs. The functional is PBE.

symmetry: F-43m, No. 216
crystal system: cubic
distance to the lowest polymorph of the same formula: 0 meV/atom
mass density: 4956 kg/m3
total magnetization: 0.1 μB per cell

```
ScBeZnAs
1.0
6.386 0.000 0.000
0.000 6.386 0.000
0.000 0.000 6.386
Sc Be Zn As
4 4 4 4
Cartesian
0.000 0.000 0.000
0.000 3.193 3.193
3.193 0.000 3.193
3.193 3.193 0.000
0.000 0.000 3.193
0.000 3.193 0.000
3.193 0.000 0.000
3.193 3.193 3.193
1.596 1.596 1.596
1.596 4.789 4.789
4.789 1.596 4.789
4.789 4.789 1.596
1.596 1.596 4.789
1.596 4.789 1.596
4.789 1.596 1.596
4.789 4.789 4.789
```

***

Record 3
This record from the Open Quantum Materials Database describes a relaxed structure of Sc2FeSiGe. The functional is PBE.

symmetry: C2/m, No. 12
crystal system: monoclinic
distance to the lowest polymorph of the same formula: 0 meV/atom
mass density: 4922 kg/m3
total magnetization: 0.0 μB per cell

```
Sc2FeSiGe
1.0
4.964 -1.993 0.000
4.964 1.993 0.000
-4.541 0.000 8.405
Sc Fe Si Ge
4 2 2 2
Cartesian
-1.506 0.000 2.802
1.325 0.000 0.950
4.061 0.000 7.455
6.893 0.000 5.603
-0.164 0.000 5.237
5.551 0.000 3.167
1.535 0.000 3.652
3.852 0.000 4.753
4.231 0.000 1.074
1.156 0.000 7.331
```

***

Record 4
This record from the Open Quantum Materials Database describes a relaxed structure of CuH10C5S2I. The functional is PBE.

symmetry: P2_1/c, No. 14
crystal system: monoclinic
mass density: 2330 kg/m3
calculated total energy: -0.3717 Ry per atom

```
CuH10C5S2I
1.0
8.593 0.000 0.000
0.000 8.680 0.000
-0.820 0.000 12.409
Cu H C S I
4 40 20 8 4
Cartesian
0.734 0.775 6.014
0.324 3.564 12.218
7.449 5.115 0.191
7.039 7.904 6.395
-0.283 0.803 10.574
0.127 3.537 4.370
-0.034 0.022 8.975
0.376 4.318 2.771
0.420 1.820 2.564
0.010 2.520 8.769
1.200 4.948 9.189
1.610 8.072 2.985
1.882 0.533 0.690
1.472 3.807 6.895
1.288 0.068 10.165
1.698 4.272 3.961
2.609 5.105 10.260
3.019 7.914 4.055
3.480 1.140 0.196
3.070 3.200 6.401
3.351 5.131 7.927
3.761 7.889 1.723
3.809 5.018 3.692
3.399 8.002 9.896
4.374 0.678 2.512
3.964 3.662 8.717
4.012 0.791 10.686
4.422 3.549 4.481
4.703 5.480 6.008
4.293 7.539 12.212
4.754 0.765 8.354
5.164 3.575 2.149
6.075 4.408 8.448
6.485 8.612 2.244
6.301 4.873 5.514
5.891 8.147 11.718
6.163 0.608 9.424
6.573 3.732 3.219
7.763 6.160 3.640
7.353 6.860 9.845
7.397 4.362 9.638
7.807 8.658 3.433
7.646 5.142 8.039
8.056 7.877 1.835
0.438 0.632 9.761
0.848 3.708 3.556
0.872 1.961 9.169
1.282 2.378 2.965
2.122 4.451 9.523
2.532 8.569 3.319
2.806 1.009 1.056
2.396 3.331 7.261
3.459 0.181 2.151
3.049 4.159 8.355
4.724 4.520 4.053
4.314 8.499 10.258
5.377 5.349 5.148
4.967 7.670 11.353
5.241 0.111 9.090
5.651 4.229 2.885
6.491 6.301 9.444
6.901 6.718 3.240
6.925 4.972 8.852
7.335 8.047 2.648
2.097 1.379 4.262
1.687 2.960 10.467
2.008 1.631 7.779
2.418 2.709 1.575
5.355 5.971 10.834
5.765 7.049 4.629
6.086 5.719 1.942
5.676 7.300 8.147
1.254 6.186 0.070
0.844 6.834 6.274
6.929 1.846 6.135
6.519 2.494 12.339
```

***

Record 5
This record from the Open Quantum Materials Database describes a relaxed structure of HoEr2Fe2CoNi6. The functional is PBE.

E_form: -0.324 eV per atom
symmetry: R-3m, No. 166
crystal system: trigonal
mass density: 9932 kg/m3
total magnetization: 6.9 μB per cell

```
HoEr2Fe2CoNi6
1.0
2.476 1.429 8.049
-2.476 1.429 8.049
0.000 -2.859 8.049
Ho Er Fe Co Ni
1 2 2 1 6
Cartesian
0.000 0.000 0.000
0.000 0.000 3.370
0.000 0.000 20.776
0.000 0.000 8.039
0.000 0.000 16.107
0.000 0.000 12.073
-1.233 -0.712 10.025
0.000 -1.424 14.121
-1.233 0.712 14.121
1.233 -0.712 10.025
0.000 1.424 10.025
1.233 0.712 14.121
```

***

Record 6
This record from the Open Quantum Materials Database describes a relaxed structure of AlCo2Pb. The functional is PBE.

symmetry: P6_3/mmc, No. 194
crystal system: hexagonal
mass density: 9425 kg/m3
total magnetization: 1.7 μB per cell
calculated total energy: -0.3733 Ry per atom

```
AlCo2Pb
1.0
3.074 0.000 0.000
-1.537 2.662 0.000
0.000 0.000 15.162
Al Co Pb
2 4 2
Cartesian
0.000 0.000 0.000
0.000 0.000 7.581
0.000 1.775 1.741
0.000 1.775 5.840
1.537 0.887 9.322
1.537 0.887 13.421
0.000 1.775 11.371
1.537 0.887 3.790
```

***

Record 7
This record from the Open Quantum Materials Database describes a relaxed structure of RbZrNiSe3. The functional is PBE.

symmetry: P2_1/m, No. 11
crystal system: monoclinic
mass density: 4988 kg/m3
total magnetization: 0.0 μB per cell
calculated total energy: -0.3936 Ry per atom

```
RbZrNiSe3
1.0
9.123 0.000 0.000
0.000 3.864 0.000
-4.144 0.000 8.920
Rb Zr Ni Se
2 2 2 6
Cartesian
1.064 0.966 2.269
3.916 2.898 6.651
-0.671 2.898 7.447
5.651 0.966 1.473
-1.675 0.966 5.326
6.654 2.898 3.594
-2.521 0.966 7.616
-0.375 2.898 4.787
3.689 2.898 1.322
1.291 0.966 7.598
5.354 0.966 4.133
7.501 2.898 1.304
```

***

Record 8
This record from the Open Quantum Materials Database describes a relaxed structure of TaCuSiNi. The functional is PBE.

symmetry: F-43m, No. 216
crystal system: cubic
distance to the lowest polymorph of the same formula: 26 meV/atom
mass density: 10309 kg/m3
total magnetization: 0.0 μB per cell

```
TaCuSiNi
1.0
5.976 0.000 0.000
0.000 5.976 0.000
0.000 0.000 5.976
Ta Cu Si Ni
4 4 4 4
Cartesian
0.000 0.000 0.000
0.000 2.988 2.988
2.988 0.000 2.988
2.988 2.988 0.000
1.494 1.494 4.482
1.494 4.482 1.494
4.482 1.494 1.494
4.482 4.482 4.482
1.494 1.494 1.494
1.494 4.482 4.482
4.482 1.494 4.482
4.482 4.482 1.494
0.000 0.000 2.988
0.000 2.988 0.000
2.988 0.000 0.000
2.988 2.988 2.988
```

***

Record 9
This record from the Open Quantum Materials Database describes a relaxed structure of GdLu3Se6. The functional is PBE.

symmetry: P2_1/m, No. 11
crystal system: monoclinic
distance to the lowest polymorph of the same formula: 0 meV/atom
mass density: 7578 kg/m3
total magnetization: 0.0 μB per cell

```
GdLu3Se6
1.0
11.396 0.000 0.000
0.000 4.035 0.000
-3.855 0.000 11.017
Gd Lu Se
2 6 12
Cartesian
-0.224 1.009 2.154
7.766 3.026 8.862
-0.440 1.009 6.435
-0.229 3.026 11.005
3.692 1.009 3.673
3.850 3.026 7.344
7.771 1.009 0.012
7.982 3.026 4.582
-0.613 3.026 4.449
-2.415 1.009 10.637
-0.653 3.026 8.260
2.083 3.026 2.479
2.323 1.009 6.167
5.030 1.009 1.266
2.512 3.026 9.751
5.219 3.026 4.850
5.458 1.009 8.538
8.195 1.009 2.757
9.957 3.026 0.380
8.154 1.009 6.567
```

***

Record 10
This record from the Open Quantum Materials Database describes a relaxed structure of LaGdMg2Ag2. The functional is PBE.

symmetry: Pm, No. 6
crystal system: monoclinic
mass density: 6220 kg/m3
total magnetization: 0.0 μB per cell
calculated total energy: -0.2448 Ry per atom

```
LaGdMg2Ag2
1.0
7.772 0.000 0.000
0.000 4.295 0.000
-0.015 0.000 13.450
La Gd Mg Ag
3 3 6 6
Cartesian
0.000 0.000 0.000
0.975 0.000 9.400
4.833 0.000 10.562
0.983 0.000 3.869
3.903 0.000 6.563
4.828 0.000 2.755
1.237 2.147 6.559
2.304 2.147 11.790
2.319 2.147 1.624
5.089 2.147 0.008
6.164 2.147 8.181
6.172 2.147 5.003
3.242 0.000 13.439
3.250 2.147 4.402
3.254 2.147 8.768
7.104 0.000 6.584
7.105 2.147 2.272
7.107 2.147 11.137
```

***

Look up the mass density of the third one.
4922 kg/m3

***

Among the records above, which one has the highest mass density?
TaBiPt

***

Number 1 is which compound?
TaBiPt